Entry 1:
VASP calculation (GGA-PBE) on a relaxed structure of Ba2YMn. Values from VASP.

Results
* space-group type: I-4m2, No. 119
* relative energy among the computed polymorphs: 0.262 eV/atom
* crystal system: tetragonal
* formation energy: 2.2 eV per formula unit

Geometry as Quantum ESPRESSO input:
```
&SYSTEM
  ibrav = 0, nat = 8, ntyp = 3
/
ATOMIC_SPECIES
Ba 137.33 Ba.upf
Y 88.91 Y.upf
Mn 54.94 Mn.upf
ATOMIC_POSITIONS crystal
Ba 0.0000 0.0000 0.0000
Ba 0.0000 0.5000 0.2500
Ba 0.5000 0.0000 0.7500
Ba 0.5000 0.5000 0.5000
Y 0.0000 0.0000 0.5000
Y 0.5000 0.5000 0.0000
Mn 0.0000 0.5000 0.7500
Mn 0.5000 0.0000 0.2500
CELL_PARAMETERS angstrom
5.9277 0.0000 0.0000
0.0000 5.9277 0.0000
0.0000 0.0000 8.3245
```


Entry 2:
VASP calculation (GGA-PBE) on a relaxed structure of Y5Si3. Values from VASP.

Results
* space-group type: I4/mcm, No. 140
* relative energy among the computed polymorphs: 0.049 eV/atom
* crystal system: tetragonal

Geometry as Quantum ESPRESSO input:
```
&SYSTEM
  ibrav = 0, nat = 16, ntyp = 2
/
ATOMIC_SPECIES
Y 88.91 Y.upf
Si 28.09 Si.upf
ATOMIC_POSITIONS crystal
Y 0.0000 0.0000 0.0000
Y 0.0269 0.5269 0.8428
Y 0.1841 0.0269 0.5000
Y 0.3159 0.8159 0.8428
Y 0.4731 0.3159 0.5000
Y 0.5000 0.5000 0.0000
Y 0.5269 0.6841 0.5000
Y 0.6841 0.1841 0.1572
Y 0.8159 0.9731 0.5000
Y 0.9731 0.4731 0.1572
Si 0.1244 0.3756 0.5000
Si 0.2500 0.2500 0.0000
Si 0.3756 0.8756 0.2512
Si 0.6244 0.1244 0.7488
Si 0.7500 0.7500 0.0000
Si 0.8756 0.6244 0.5000
CELL_PARAMETERS angstrom
-3.7718 3.7718 6.8149
3.7718 -3.7718 6.8149
3.7718 3.7718 -6.8149
```


Entry 3:
VASP calculation (GGA-PBE) on a relaxed structure of RbSc2TlOs. Values from VASP.

Results
* space-group type: P4/mmm, No. 123
* crystal system: tetragonal
* formation energy: 8.3 eV per formula unit

Geometry as Quantum ESPRESSO input:
```
&SYSTEM
  ibrav = 0, nat = 5, ntyp = 4
/
ATOMIC_SPECIES
Rb 85.47 Rb.upf
Sc 44.96 Sc.upf
Tl 204.38 Tl.upf
Os 190.23 Os.upf
ATOMIC_POSITIONS crystal
Rb 0.0000 0.0000 0.0000
Sc 0.0000 0.5000 0.5000
Sc 0.5000 0.0000 0.5000
Tl 0.0000 0.0000 0.5000
Os 0.5000 0.5000 0.0000
CELL_PARAMETERS angstrom
5.4446 0.0000 0.0000
0.0000 5.4446 0.0000
0.0000 0.0000 5.9573
```


Entry 4:
VASP calculation (GGA-PBE) on a relaxed structure of Ir5Ru4Rh2. Values from VASP.

Results
* space-group type: Fmmm, No. 69
* relative energy among the computed polymorphs: 0.000 eV/atom
* crystal system: orthorhombic
* formation energy: 7.3 eV per formula unit

Geometry as Quantum ESPRESSO input:
```
&SYSTEM
  ibrav = 0, nat = 11, ntyp = 3
/
ATOMIC_SPECIES
Ir 192.22 Ir.upf
Ru 101.07 Ru.upf
Rh 102.91 Rh.upf
ATOMIC_POSITIONS crystal
Ir 0.0000 0.0000 0.0000
Ir 0.0000 0.0000 0.5000
Ir 0.2500 0.2500 0.2500
Ir 0.5000 0.5000 0.0000
Ir 0.7500 0.7500 0.7500
Ru 0.0021 0.7347 0.2653
Ru 0.2653 0.9979 0.0021
Ru 0.7347 0.0021 0.9979
Ru 0.9979 0.2653 0.7347
Rh 0.2841 0.2841 0.7159
Rh 0.7159 0.7159 0.2841
CELL_PARAMETERS angstrom
0.0000 4.6229 8.3289
2.5058 0.0000 8.3289
2.5058 4.6229 0.0000
```


Entry 5:
VASP calculation (GGA-PBE) on a relaxed structure of Pm7SmY2. Values from VASP.

Results
* space-group type: Cmmm, No. 65
* relative energy among the computed polymorphs: 0.000 eV/atom
* crystal system: orthorhombic
* formation energy: 4.0 eV per formula unit

Geometry as Quantum ESPRESSO input:
```
&SYSTEM
  ibrav = 0, nat = 10, ntyp = 3
/
ATOMIC_SPECIES
Pm 145.00 Pm.upf
Sm 150.36 Sm.upf
Y 88.91 Y.upf
ATOMIC_POSITIONS crystal
Pm 0.0000 0.0000 0.0000
Pm 0.1127 0.3738 0.0000
Pm 0.1748 0.8252 0.5000
Pm 0.3738 0.1127 0.0000
Pm 0.6262 0.8873 0.0000
Pm 0.8252 0.1748 0.5000
Pm 0.8873 0.6262 0.0000
Sm 0.5000 0.5000 0.5000
Y 0.3310 0.6690 0.0000
Y 0.6690 0.3310 0.0000
CELL_PARAMETERS angstrom
6.0493 -8.5041 0.0000
6.0493 8.5041 0.0000
0.0000 0.0000 3.5130
```


Entry 6:
VASP calculation (GGA-PBE) on a relaxed structure of KNbI2O. Values from VASP.

Results
* space-group type: P4/mmm, No. 123
* relative energy among the computed polymorphs: 1.939 eV/atom
* crystal system: tetragonal

Geometry as Quantum ESPRESSO input:
```
&SYSTEM
  ibrav = 0, nat = 5, ntyp = 4
/
ATOMIC_SPECIES
K 39.10 K.upf
Nb 92.91 Nb.upf
I 126.90 I.upf
O 16.00 O.upf
ATOMIC_POSITIONS crystal
K 0.0000 0.0000 0.0000
Nb 0.5000 0.5000 0.5000
I 0.0000 0.5000 0.0000
I 0.5000 0.0000 0.0000
O 0.0000 0.0000 0.5000
CELL_PARAMETERS angstrom
6.1160 0.0000 0.0000
0.0000 6.1160 0.0000
0.0000 0.0000 4.3376
```


Entry 7:
VASP calculation (GGA-PBE) on a relaxed structure of Ge2Ir2W. Values from VASP.

Results
* space-group type: P4/mbm, No. 127
* crystal system: tetragonal
* formation energy: 0.6 eV per formula unit

Geometry as Quantum ESPRESSO input:
```
&SYSTEM
  ibrav = 0, nat = 10, ntyp = 3
/
ATOMIC_SPECIES
Ge 72.64 Ge.upf
Ir 192.22 Ir.upf
W 183.84 W.upf
ATOMIC_POSITIONS crystal
Ge 0.1486 0.3514 0.0000
Ge 0.3514 0.8514 0.0000
Ge 0.6486 0.1486 0.0000
Ge 0.8514 0.6486 0.0000
Ir 0.1522 0.6522 0.5000
Ir 0.3478 0.1522 0.5000
Ir 0.6522 0.8478 0.5000
Ir 0.8478 0.3478 0.5000
W 0.0000 0.0000 0.0000
W 0.5000 0.5000 0.0000
CELL_PARAMETERS angstrom
7.3015 0.0000 0.0000
0.0000 7.3015 0.0000
0.0000 0.0000 2.8342
```


Entry 8:
VASP calculation (GGA-PBE) on a relaxed structure of RbCaCr2. Values from VASP.

Results
* space-group type: I-42d, No. 122
* relative energy among the computed polymorphs: 1.026 eV/atom
* crystal system: tetragonal
* formation energy: 8.7 eV per formula unit

Geometry as Quantum ESPRESSO input:
```
&SYSTEM
  ibrav = 0, nat = 16, ntyp = 3
/
ATOMIC_SPECIES
Rb 85.47 Rb.upf
Ca 40.08 Ca.upf
Cr 52.00 Cr.upf
ATOMIC_POSITIONS crystal
Rb 0.0000 0.0000 0.0000
Rb 0.0000 0.5000 0.2500
Rb 0.5000 0.0000 0.7500
Rb 0.5000 0.5000 0.5000
Ca 0.0000 0.0000 0.5000
Ca 0.0000 0.5000 0.7500
Ca 0.5000 0.0000 0.2500
Ca 0.5000 0.5000 0.0000
Cr 0.2443 0.2500 0.6250
Cr 0.2500 0.7443 0.8750
Cr 0.2500 0.7557 0.3750
Cr 0.2557 0.2500 0.1250
Cr 0.7443 0.7500 0.1250
Cr 0.7500 0.2443 0.3750
Cr 0.7500 0.2557 0.8750
Cr 0.7557 0.7500 0.6250
CELL_PARAMETERS angstrom
8.6372 0.0000 0.0000
0.0000 8.6372 0.0000
0.0000 0.0000 5.5517
```


no.,E_tot (eV per atom),volume (Å³/atom)
1,-4.310,36.6
2,-6.746,24.2
3,-3.784,35.3
4,-8.074,17.5
5,-4.695,36.1
6,-3.043,32.4
7,-7.854,15.1
8,-3.371,25.9